A plane-wave DFT calculation with GGA-PBEsol was carried out for LaY3 after structural relaxation.

total energy	-25.75	eV for the cell shown
crystal system	monoclinic
calculated formation energy	0.016	eV/atom
V	125.4	Å³ per cell
symmetry	C2/m (12)

Unit cell a=6.1357 b=6.1357 c=6.1080 alpha=99.58 beta=99.58 gamma=33.63
With the nearest neighbours (Å) after each atom.
Fractional coordinates of all 4 atoms:
La  0.0000  0.0000  0.0000  10 Y 3.53-3.54, 2 La 3.55
Y  0.2504  0.2504  0.7507  9 Y 3.53-3.55, 3 La 3.54
Y  0.5000  0.5000  0.5000  4 La 3.53, 8 Y 3.54-3.55
Y  0.7496  0.7496  0.2493  9 Y 3.53-3.55, 3 La 3.54

---

A plane-wave DFT calculation with GGA-PBEsol was carried out for LaY3 after structural relaxation.

total energy	-25.71	eV for the cell shown
crystal system	orthorhombic
calculated formation energy	0.024	eV/atom
V	127.3	Å³ per cell
symmetry	Imm2 (44)

Unit cell a=6.7126 b=6.7126 c=6.7126 alpha=148.67 beta=64.60 gamma=125.08
With the nearest neighbours (Å) after each atom.
Fractional coordinates of all 4 atoms:
La  0.0000  0.0000  0.0000  10 Y 3.52-3.62, 2 La 3.62
Y  0.4086  0.6563  0.7523  9 Y 3.49-3.62, 3 La 3.52-3.53
Y  0.4934  0.9934  0.5000  8 Y 3.49-3.62, 4 La 3.55-3.62
Y  0.9041  0.6563  0.2477  9 Y 3.49-3.62, 3 La 3.52-3.53

---

A plane-wave DFT calculation with GGA-PBEsol was carried out for LaY4 after structural relaxation.

total energy	-32.55	eV for the cell shown
crystal system	trigonal
calculated formation energy	0.017	eV/atom
V	155.8	Å³ per cell
symmetry	R-3m (166)
energy relative to the lowest polymorph listed for this composition	0	meV/atom

Unit cell a=14.5233 b=14.5233 c=14.5233 alpha=13.99 beta=13.99 gamma=13.99
With the nearest neighbours (Å) after each atom.
Fractional coordinates of all 5 atoms:
La  0.0000  0.0000  0.0000  6 La 3.54, 6 Y 3.57
Y  0.1997  0.1997  0.1997  12 Y 3.50-3.54
Y  0.4011  0.4011  0.4011  9 Y 3.50-3.54, 3 La 3.57
Y  0.5989  0.5989  0.5989  9 Y 3.50-3.54, 3 La 3.57
Y  0.8003  0.8003  0.8003  12 Y 3.50-3.54

---

Look up the calculated formation energy of the first one.
0.016 eV/atom

---

Among the records above, which one has the lowest calculated formation energy?
number 1

---

Copy entry 3 word for word.
A plane-wave DFT calculation with GGA-PBEsol was carried out for LaY4 after structural relaxation.

total energy	-32.55	eV for the cell shown
crystal system	trigonal
calculated formation energy	0.017	eV/atom
V	155.8	Å³ per cell
symmetry	R-3m (166)
energy relative to the lowest polymorph listed for this composition	0	meV/atom

Unit cell a=14.5233 b=14.5233 c=14.5233 alpha=13.99 beta=13.99 gamma=13.99
With the nearest neighbours (Å) after each atom.
Fractional coordinates of all 5 atoms:
La  0.0000  0.0000  0.0000  6 La 3.54, 6 Y 3.57
Y  0.1997  0.1997  0.1997  12 Y 3.50-3.54
Y  0.4011  0.4011  0.4011  9 Y 3.50-3.54, 3 La 3.57
Y  0.5989  0.5989  0.5989  9 Y 3.50-3.54, 3 La 3.57
Y  0.8003  0.8003  0.8003  12 Y 3.50-3.54